Record 1
Below is a geometry-optimized Np2AlSn structure, with properties calculated at the PBE level.

## Properties
DOS(E_F), states/eV/f.u.: 8.053
E_form, meV/atom: 182

abc: 3.826 3.826 5.124
angles: 90.00 90.00 90.00
Positions (direct):
Np: 0.000 0.500 0.000
Np: 0.500 0.000 0.000
Al: 0.000 0.000 0.500
Sn: 0.500 0.500 0.500

Record 2
Below is a geometry-optimized PmDy2Nb structure, with properties calculated at the PBE level.

## Properties
DOS(E_F), states/eV/f.u.: 5.648
E_form, meV/atom: 550

abc: 11.880 11.880 11.880
angles: 16.04 16.04 16.04
Positions (direct):
Pm: 0.000 0.000 0.000
Dy: 0.418 0.418 0.418
Dy: 0.582 0.582 0.582
Nb: 0.500 0.500 0.500

Record 3
Below is a geometry-optimized Li2ScTe structure, with properties calculated at the PBE level.

## Properties
DOS(E_F), states/eV/f.u.: 2.778
Formation energy from raw total energies, meV per atom: -499

abc: 3.851 3.892 6.460
angles: 90.00 107.00 90.00
Positions (direct):
Li: 0.000 0.000 0.000
Li: 0.399 0.500 0.800
Sc: 0.651 0.500 0.306
Te: 0.236 0.000 0.479

Record 4
Below is a geometry-optimized TaCr2Si structure, with properties calculated at the PBE level.

## Properties
DOS(E_F), states/eV/f.u.: 3.180
Formation energy from raw total energies, meV per atom: 2

abc: 2.696 2.696 7.907
angles: 90.00 90.00 108.18
Positions (direct):
Ta: 0.000 0.000 0.000
Cr: 0.500 0.500 0.273
Cr: 0.500 0.500 0.727
Si: 0.000 0.000 0.500

Record 5
Below is a geometry-optimized NaLiSn2Cl6 structure, with properties calculated at the PBE level.

## Properties
DOS(E_F), states/eV/f.u.: 0.000
Formation energy from raw total energies, meV per atom: -1322

abc: 7.580 7.580 7.580
angles: 56.47 56.47 56.47
Positions (direct):
Na: 0.000 0.000 0.000
Li: 0.499 0.499 0.499
Sn: 0.190 0.190 0.190
Sn: 0.689 0.689 0.689
Cl: 0.162 0.366 0.783
Cl: 0.300 0.859 0.637
Cl: 0.366 0.783 0.162
Cl: 0.637 0.300 0.859
Cl: 0.783 0.162 0.366
Cl: 0.859 0.637 0.300

Record 6
Below is a geometry-optimized NaScN3 structure, with properties calculated at the PBE level.

## Properties
DOS(E_F), states/eV/f.u.: 3.628
Formation energy from raw total energies, meV per atom: 1759

abc: 3.909 3.909 3.909
angles: 90.00 90.00 90.00
Positions (direct):
Na: 0.000 0.000 0.000
Sc: 0.500 0.500 0.500
N: 0.000 0.000 0.500
N: 0.000 0.500 0.000
N: 0.500 0.000 0.000

Record 7
Below is a geometry-optimized RbMgSnBi structure, with properties calculated at the PBE level.

## Properties
DOS(E_F), states/eV/f.u.: 1.942
E_form, meV/atom: -180

abc: 4.042 4.042 8.157
angles: 90.00 90.00 90.00
Positions (direct):
Rb: 0.000 0.000 0.000
Mg: 0.000 0.000 0.506
Sn: 0.500 0.500 0.684
Bi: 0.500 0.500 0.323

Record 8
Below is a geometry-optimized Cs3CaFe2Cl9 structure, with properties calculated at the PBE level.

## Properties
DOS(E_F), states/eV/f.u.: 10.445
Formation energy from raw total energies, meV per atom: -1554

abc: 7.323 7.323 8.981
angles: 90.00 90.00 120.00
Positions (direct):
Cs: 0.000 0.000 0.000
Cs: 0.333 0.667 0.669
Cs: 0.667 0.333 0.331
Ca: 0.000 0.000 0.500
Fe: 0.333 0.667 0.153
Fe: 0.667 0.333 0.847
Cl: 0.000 0.500 0.000
Cl: 0.175 0.349 0.321
Cl: 0.175 0.825 0.321
Cl: 0.349 0.175 0.679
Cl: 0.500 0.000 0.000
Cl: 0.500 0.500 0.000
Cl: 0.651 0.825 0.321
Cl: 0.825 0.175 0.679
Cl: 0.825 0.651 0.679

Record 9
Below is a geometry-optimized SmRhCl6 structure, with properties calculated at the PBE level.

## Properties
Formation energy from raw total energies, meV per atom: -1332

abc: 6.869 6.869 6.869
angles: 55.13 55.13 55.13
Positions (direct):
Sm: 0.000 0.000 0.000
Rh: 0.500 0.500 0.500
Cl: 0.111 0.722 0.432
Cl: 0.278 0.568 0.889
Cl: 0.432 0.111 0.722
Cl: 0.568 0.889 0.278
Cl: 0.722 0.432 0.111
Cl: 0.889 0.278 0.568

Record 10
Below is a geometry-optimized Ba6TlIn2 structure, with properties calculated at the PBE level.

## Properties
DOS(E_F), states/eV/f.u.: 11.258
E_form, meV/atom: -207
Distance to the lowest polymorph of the same formula, eV/f.u.: 0.46

abc: 8.213 9.760 12.842
angles: 90.00 119.64 90.00
Positions (direct):
Ba: 0.082 0.047 0.235
Ba: 0.082 0.453 0.735
Ba: 0.205 0.685 0.071
Ba: 0.205 0.815 0.571
Ba: 0.398 0.162 0.060
Ba: 0.398 0.338 0.560
Ba: 0.602 0.662 0.440
Ba: 0.602 0.838 0.940
Ba: 0.795 0.185 0.429
Ba: 0.795 0.315 0.929
Ba: 0.918 0.547 0.265
Ba: 0.918 0.953 0.765
Tl: 0.500 0.000 0.500
Tl: 0.500 0.500 0.000
In: 0.305 0.122 0.749
In: 0.305 0.378 0.249
In: 0.695 0.622 0.751
In: 0.695 0.878 0.251

Record 11
Below is a geometry-optimized CuI2N structure, with properties calculated at the PBE level.

## Properties
DOS(E_F), states/eV/f.u.: 5.007
Formation energy from raw total energies, meV per atom: 1694
Distance to the lowest polymorph of the same formula, eV/f.u.: 2.55

abc: 4.806 4.806 4.806
angles: 60.00 60.00 60.00
Positions (direct):
Cu: 0.000 0.000 0.000
I: 0.250 0.250 0.250
I: 0.750 0.750 0.750
N: 0.500 0.500 0.500

Record 12
Below is a geometry-optimized Ac12La4Pr3Nd structure, with properties calculated at the PBE level.

## Properties
DOS(E_F), states/eV/f.u.: 33.593
E_form, meV/atom: 603

abc: 10.585 10.585 10.585
angles: 109.47 109.47 109.47
Positions (direct):
Ac: 0.084 0.291 0.793
Ac: 0.207 0.498 0.291
Ac: 0.207 0.916 0.709
Ac: 0.291 0.207 0.498
Ac: 0.291 0.793 0.084
Ac: 0.498 0.291 0.207
Ac: 0.502 0.709 0.793
Ac: 0.709 0.207 0.916
Ac: 0.709 0.793 0.502
Ac: 0.793 0.084 0.291
Ac: 0.793 0.502 0.709
Ac: 0.916 0.709 0.207
La: 0.000 0.000 0.500
La: 0.000 0.500 0.000
La: 0.500 0.000 0.000
La: 0.500 0.500 0.500
Pr: 0.000 0.500 0.500
Pr: 0.500 0.000 0.500
Pr: 0.500 0.500 0.000
Nd: 0.000 0.000 0.000

Record 13
Below is a geometry-optimized BaTc2Rh structure, with properties calculated at the PBE level.

## Properties
DOS(E_F), states/eV/f.u.: 4.919
E_form, meV/atom: 795
Distance to the lowest polymorph of the same formula, eV/f.u.: 1.65

abc: 5.693 5.693 5.693
angles: 146.26 120.72 69.98
Positions (direct):
Ba: 0.000 0.000 0.000
Tc: 0.511 0.511 0.000
Tc: 0.690 0.190 0.500
Rh: 0.298 0.798 0.500

Record 14
Below is a geometry-optimized ZrSi4P structure, with properties calculated at the PBE level.

## Properties
DOS(E_F), states/eV/f.u.: 2.845
Formation energy from raw total energies, meV per atom: 17

abc: 5.051 5.051 5.051
angles: 60.00 60.00 60.00
Positions (direct):
Zr: 0.000 0.000 0.000
Si: 0.376 0.376 0.376
Si: 0.376 0.376 0.873
Si: 0.376 0.873 0.376
Si: 0.873 0.376 0.376
P: 0.750 0.750 0.750

Record 15
Below is a geometry-optimized Pm12Pr2Ho5 structure, with properties calculated at the PBE level.

## Properties
DOS(E_F), states/eV/f.u.: 26.859
E_form, meV/atom: 100
Distance to the lowest polymorph of the same formula, eV/f.u.: 0.00

abc: 9.529 9.529 11.475
angles: 126.80 126.80 63.72
Positions (direct):
Pm: 0.048 0.552 0.197
Pm: 0.147 0.654 0.598
Pm: 0.204 0.204 0.301
Pm: 0.307 0.307 0.703
Pm: 0.346 0.853 0.402
Pm: 0.448 0.952 0.803
Pm: 0.552 0.048 0.197
Pm: 0.654 0.147 0.598
Pm: 0.693 0.693 0.297
Pm: 0.796 0.796 0.699
Pm: 0.853 0.346 0.402
Pm: 0.952 0.448 0.803
Pr: 0.250 0.750 0.000
Pr: 0.750 0.250 0.000
Ho: 0.105 0.105 0.912
Ho: 0.402 0.402 0.106
Ho: 0.500 0.500 0.500
Ho: 0.598 0.598 0.894
Ho: 0.895 0.895 0.088

Record 16
Below is a geometry-optimized RbGaPb structure, with properties calculated at the PBE level.

## Properties
DOS(E_F), states/eV/f.u.: 0.675
E_form, meV/atom: -93

abc: 4.867 4.901 9.065
angles: 90.00 90.98 90.00
Positions (direct):
Rb: 0.000 0.000 0.000
Rb: 0.490 0.500 0.681
Ga: 0.981 0.000 0.549
Ga: 0.994 0.500 0.363
Pb: 0.470 0.000 0.359
Pb: 0.513 0.500 0.144

Record 17
Below is a geometry-optimized Sn5H2Pd12 structure, with properties calculated at the PBE level.

## Properties
DOS(E_F), states/eV/f.u.: 5.948
Total DFT energy (no corrections), eV for the cell shown: -94.2

abc: 7.974 7.974 8.061
angles: 92.97 92.97 40.68
Positions (direct):
Sn: 0.000 0.000 0.000
Sn: 0.284 0.284 0.622
Sn: 0.294 0.294 0.150
Sn: 0.706 0.706 0.850
Sn: 0.716 0.716 0.378
H: 0.203 0.797 0.500
H: 0.797 0.203 0.500
Pd: 0.034 0.034 0.334
Pd: 0.112 0.602 0.889
Pd: 0.123 0.626 0.402
Pd: 0.374 0.877 0.598
Pd: 0.398 0.888 0.111
Pd: 0.477 0.477 0.164
Pd: 0.523 0.523 0.836
Pd: 0.602 0.112 0.889
Pd: 0.626 0.123 0.402
Pd: 0.877 0.374 0.598
Pd: 0.888 0.398 0.111
Pd: 0.966 0.966 0.666

Record 18
Below is a geometry-optimized Na2AlCCl structure, with properties calculated at the PBE level.

## Properties
DOS(E_F), states/eV/f.u.: 2.882
Formation energy from raw total energies, meV per atom: 953

abc: 4.803 4.803 5.106
angles: 90.00 90.00 90.00
Positions (direct):
Na: 0.000 0.500 0.000
Na: 0.500 0.000 0.000
Al: 0.000 0.000 0.500
C: 0.500 0.500 0.000
Cl: 0.500 0.500 0.500

Record 19
Below is a geometry-optimized Tl2MoOs structure, with properties calculated at the PBE level.

## Properties
DOS(E_F), states/eV/f.u.: 4.367
E_form, meV/atom: 1059
Distance to the lowest polymorph of the same formula, eV/f.u.: 2.57

abc: 3.043 3.043 9.501
angles: 90.00 90.00 119.04
Positions (direct):
Tl: 0.000 0.000 0.245
Tl: 0.000 0.000 0.755
Mo: 0.500 0.500 0.500
Os: 0.500 0.500 0.000

Record 20
Below is a geometry-optimized Tl4Hg3Sb2As8S20 structure, with properties calculated at the PBE level.

## Properties
DOS(E_F), states/eV/f.u.: 0.000
Formation energy from raw total energies, meV per atom: -197

abc: 11.587 14.012 14.012
angles: 121.97 90.00 90.00
Positions (direct):
Tl: 0.057 0.231 0.769
Tl: 0.200 0.599 0.386
Tl: 0.300 0.099 0.886
Tl: 0.443 0.731 0.269
Tl: 0.557 0.269 0.731
Tl: 0.700 0.886 0.099
Tl: 0.800 0.386 0.599
Tl: 0.943 0.769 0.231
Hg: 0.000 0.246 0.246
Hg: 0.069 0.687 0.807
Hg: 0.431 0.187 0.307
Hg: 0.500 0.746 0.746
Hg: 0.569 0.307 0.187
Hg: 0.931 0.807 0.687
Sb: 0.207 0.100 0.423
Sb: 0.293 0.600 0.923
Sb: 0.707 0.923 0.600
Sb: 0.793 0.423 0.100
As: 0.096 0.944 0.549
As: 0.103 0.436 0.541
As: 0.106 0.953 0.065
As: 0.113 0.460 0.042
As: 0.387 0.960 0.542
As: 0.394 0.453 0.565
As: 0.397 0.936 0.041
As: 0.404 0.444 0.049
As: 0.596 0.049 0.444
As: 0.603 0.041 0.936
As: 0.606 0.565 0.453
As: 0.613 0.542 0.960
As: 0.887 0.042 0.460
As: 0.894 0.065 0.953
As: 0.897 0.541 0.436
As: 0.904 0.549 0.944
S: 0.018 0.188 0.528
S: 0.019 0.479 0.795
S: 0.021 0.055 0.235
S: 0.022 0.989 0.806
S: 0.170 0.618 0.630
S: 0.170 0.903 0.376
S: 0.176 0.374 0.369
S: 0.191 0.634 0.104
S: 0.245 0.369 0.608
S: 0.245 0.387 0.109
S: 0.255 0.869 0.108
S: 0.255 0.887 0.609
S: 0.309 0.134 0.604
S: 0.324 0.874 0.869
S: 0.330 0.118 0.130
S: 0.330 0.403 0.876
S: 0.478 0.489 0.306
S: 0.479 0.555 0.735
S: 0.481 0.979 0.295
S: 0.482 0.688 0.028
S: 0.518 0.028 0.688
S: 0.519 0.295 0.979
S: 0.521 0.735 0.555
S: 0.522 0.306 0.489
S: 0.670 0.130 0.118
S: 0.670 0.876 0.403
S: 0.676 0.869 0.874
S: 0.691 0.604 0.134
S: 0.745 0.108 0.869
S: 0.745 0.609 0.887
S: 0.755 0.109 0.387
S: 0.755 0.608 0.369
S: 0.809 0.104 0.634
S: 0.824 0.369 0.374
S: 0.830 0.376 0.903
S: 0.830 0.630 0.618
S: 0.978 0.806 0.989
S: 0.979 0.235 0.055
S: 0.981 0.795 0.479
S: 0.982 0.528 0.188